Entry 1:
Np3Hg3AuSe8 | PBE-GGA | optimized geometry

Output
ΔE_f (raw), eV per atom: -0.544
Symmetry: C2/m, No. 12

Cell lengths 7.9942, 7.8396, 10.4379 Å; angles 111.63, 90.00, 120.65 degrees
Sites, in units of the cell vectors:
Np (0.5000, 0.0000, 0.5000)
Np (0.5000, 0.5000, 0.5000)
Np (0.0000, 0.5000, 0.5000)
Hg (0.0000, 0.0000, 0.0000)
Hg (0.0000, 0.5000, 0.0000)
Hg (0.5000, 0.5000, 0.0000)
Au (0.0000, 0.0000, 0.5000)
Se (0.2747, 0.5493, 0.3289)
Se (0.7253, 0.4507, 0.6711)
Se (0.7869, 0.5739, 0.3366)
Se (0.2131, 0.4261, 0.6634)
Se (0.7672, 0.0584, 0.3258)
Se (0.2328, 0.9416, 0.6742)
Se (0.2912, 0.0584, 0.3258)
Se (0.7088, 0.9416, 0.6742)



Entry 2:
Hg2Au2O5 | PBE-GGA | optimized geometry

Output
ΔE_f (raw), eV per atom: 0.127
Symmetry: C2/m, No. 12

Cell lengths 4.0084, 6.7177, 6.5706 Å; angles 89.11, 90.00, 107.36 degrees
Sites, in units of the cell vectors:
Hg (0.3680, 0.7360, 0.5113)
Hg (0.6320, 0.2640, 0.4887)
Au (0.1523, 0.3045, 0.9896)
Au (0.8477, 0.6955, 0.0104)
O (0.3128, 0.6257, 0.9732)
O (0.6872, 0.3743, 0.0268)
O (0.1573, 0.3145, 0.5463)
O (0.8427, 0.6855, 0.4537)
O (0.0000, 0.0000, 0.0000)



Entry 3:
Hg12Au3O5 | PBE-GGA | optimized geometry

Output
ΔE_f (raw), eV per atom: -0.044
Symmetry: Ia-3d, No. 230

Cell lengths 13.0308, 13.0308, 13.0308 Å; angles 109.47, 109.47, 109.47 degrees
Sites, in units of the cell vectors:
Au (0.7500, 0.3750, 0.1250)
Au (0.8750, 0.7500, 0.1250)
Au (0.3750, 0.7500, 0.6250)
Au (0.2500, 0.1250, 0.3750)
Au (0.8750, 0.1250, 0.2500)
Au (0.3750, 0.6250, 0.2500)
Au (0.6250, 0.3750, 0.7500)
Au (0.1250, 0.8750, 0.7500)
Au (0.7500, 0.8750, 0.6250)
Au (0.6250, 0.2500, 0.3750)
Au (0.1250, 0.2500, 0.8750)
Au (0.2500, 0.6250, 0.8750)
O (0.1250, 0.3750, 0.2500)
O (0.0000, 0.5000, 0.0000)
O (0.0000, 0.0000, 0.0000)
O (0.3750, 0.2500, 0.1250)
O (0.5000, 0.0000, 0.5000)
O (0.5000, 0.5000, 0.0000)
O (0.1250, 0.7500, 0.3750)
O (0.7500, 0.1250, 0.8750)
O (0.7500, 0.6250, 0.3750)
O (0.3750, 0.1250, 0.7500)
O (0.6250, 0.8750, 0.2500)
O (0.5000, 0.5000, 0.5000)
O (0.5000, 0.0000, 0.0000)
O (0.0000, 0.0000, 0.5000)
O (0.2500, 0.3750, 0.6250)
O (0.2500, 0.8750, 0.1250)
O (0.0000, 0.5000, 0.5000)
O (0.8750, 0.2500, 0.6250)
O (0.6250, 0.7500, 0.8750)
O (0.8750, 0.6250, 0.7500)
Hg (0.7206, 0.1161, 0.0377)
Hg (0.3171, 0.5377, 0.4216)
Hg (0.9623, 0.3839, 0.2794)
Hg (0.5377, 0.2206, 0.1161)
Hg (0.6045, 0.7206, 0.6829)
Hg (0.9623, 0.5784, 0.1829)
Hg (0.3171, 0.7794, 0.3955)
Hg (0.0784, 0.8955, 0.1161)
Hg (0.5784, 0.9623, 0.6829)
Hg (0.7206, 0.6045, 0.1829)
Hg (0.7794, 0.4623, 0.3839)
Hg (0.8171, 0.9216, 0.0377)
Hg (0.1161, 0.7206, 0.5377)
Hg (0.3839, 0.4216, 0.1045)
Hg (0.1045, 0.9216, 0.3839)
Hg (0.3955, 0.1161, 0.5784)
Hg (0.1045, 0.1829, 0.2206)
Hg (0.4623, 0.6829, 0.0784)
Hg (0.8171, 0.8955, 0.2794)
Hg (0.1161, 0.3955, 0.0784)
Hg (0.3839, 0.9623, 0.7794)
Hg (0.5784, 0.6161, 0.3955)
Hg (0.9216, 0.8171, 0.5377)
Hg (0.7794, 0.3171, 0.8955)
Hg (0.4216, 0.3839, 0.6045)
Hg (0.0784, 0.1829, 0.4623)
Hg (0.2206, 0.6829, 0.1045)
Hg (0.1829, 0.1045, 0.7206)
Hg (0.6161, 0.0377, 0.2206)
Hg (0.8839, 0.6045, 0.9216)
Hg (0.5377, 0.3171, 0.9216)
Hg (0.6045, 0.8839, 0.4216)
Hg (0.8955, 0.8171, 0.7794)
Hg (0.8955, 0.0784, 0.6161)
Hg (0.8839, 0.2794, 0.4623)
Hg (0.1829, 0.0784, 0.9623)
Hg (0.6161, 0.5784, 0.8955)
Hg (0.4216, 0.0377, 0.3171)
Hg (0.2794, 0.3955, 0.8171)
Hg (0.2206, 0.5377, 0.6161)
Hg (0.9216, 0.1045, 0.8839)
Hg (0.6829, 0.2206, 0.6045)
Hg (0.4623, 0.7794, 0.8839)
Hg (0.0377, 0.4216, 0.8171)
Hg (0.3955, 0.2794, 0.3171)
Hg (0.0377, 0.6161, 0.7206)
Hg (0.6829, 0.4623, 0.5784)
Hg (0.2794, 0.8839, 0.9623)



Q: ΔE_f (raw) of number 1 (Np3Hg3AuSe8)?
A: -0.544 eV per atom